An optimized crystal structure of K2YHg, computed with PBE.

abc: 5.8257 5.8257 5.8257
angles: 119.72 119.72 90.49
With the nearest neighbours (Å) after each atom.
Sites, in units of the cell vectors:
1 K 0.2500 0.7500 0.5000  4 K 3.57, 4 Y 3.57
2 K 0.0000 0.0000 0.0000  4 K 3.57, 4 Hg 3.57
3 Hg 0.7500 0.2500 0.5000  4 K 3.57, 4 Y 3.57
4 Y 0.5000 0.5000 0.0000  4 Hg 3.57, 4 K 3.57

Computed properties:
For the formation energy from the elements, the calculation gives 0.321 eV/atom.

An optimized crystal structure of SmHgO, computed with PBE.

abc: 3.3315 3.3403 6.6745
angles: 104.90 104.45 90.00
With the nearest neighbours (Å) after each atom.
Sites, in units of the cell vectors:
1 Hg 0.9989 0.7420 0.9978  4 Hg 3.33-3.34, 4 O 3.37-3.71, 3 Sm 3.39-3.52
2 O 0.7494 0.8778 0.4988  4 Sm 2.36
3 Sm 0.2517 0.3801 0.5034  4 O 2.36

Computed properties:
As for the formation energy from raw total energies: -1.75 eV/atom.

An optimized crystal structure of KLi2Cu, computed with PBE.

abc: 4.8800 4.5536 4.5536
angles: 90.00 90.00 90.00
With the nearest neighbours (Å) after each atom.
Sites, in units of the cell vectors:
1 Cu 0.5000 0.5000 0.0000  4 K 3.22, 8 Li 3.34
2 Li 0.0000 0.0000 0.0000  4 Li 3.22, 4 Cu 3.34, 4 K 3.34
3 Li 0.0000 0.5000 0.5000  4 Li 3.22, 4 K 3.34, 4 Cu 3.34
4 K 0.5000 0.0000 0.5000  4 Cu 3.22, 8 Li 3.34

Computed properties:
For the formation energy from the elements, the calculation gives 0.351 eV/atom.

An optimized crystal structure of AgPb2, computed with PBE.

abc: 5.2732 5.2732 5.2732
angles: 139.02 116.15 78.72
With the nearest neighbours (Å) after each atom.
Sites, in units of the cell vectors:
1 Ag 0.0000 0.0000 0.0000  8 Pb 3.07-3.23
2 Pb 0.3007 0.8007 0.5000  4 Ag 3.07-3.23, 1 Pb 3.25
3 Pb 0.6993 0.1993 0.5000  4 Ag 3.07-3.23, 1 Pb 3.25

Computed properties:
For the formation energy from the elements, the calculation gives 0.111 eV/atom.

The following M_tot values (in μB/cell) correspond, in order, to the records above: 0.389 0.000 0.000 0.000.